No. 1
Sr2FeCoO6: relaxed, GGA+U.

## Properties
- DFT total energy (eV per atom) = -6.146

Cell: 5.528 5.528 3.860 Å, 90.00 90.00 90.00°
Space group P4/mmm (No. 123)
Inequivalent atoms, fractional coordinates:
Sr (0.000, 0.500, 0.000)
Fe (0.000, 0.000, 0.500)
Co (0.500, 0.500, 0.500)
O (0.000, 0.000, 0.000)
O (0.255, 0.255, 0.500)
O (0.500, 0.500, 0.000)



No. 2
Sr2FeCoO6: relaxed, GGA+U.

## Properties
- DFT total energy (eV per atom) = -6.156

Cell: 5.554 5.554 7.679 Å, 90.00 90.00 90.00°
Space group I4/m (No. 87)
Inequivalent atoms, fractional coordinates:
Sr (0.000, 0.500, 0.250)
Fe (0.000, 0.000, 0.000)
Co (0.000, 0.000, 0.500)
O (0.000, 0.000, 0.267)
O (0.244, 0.753, 0.000)



No. 3
TaFe2CoO6: relaxed, GGA+U.

## Properties
- DFT total energy (eV per atom) = -7.479

Cell: 5.139 5.142 5.579 Å, 91.21 116.35 119.57°
Space group P1 (No. 1)
Inequivalent atoms, fractional coordinates:
Ta (0.000, 0.000, 0.000)
Fe (0.384, 0.691, 0.071)
Fe (0.411, 0.204, 0.608)
Co (0.972, 0.489, 0.457)
O (0.190, 0.284, 0.802)
O (0.201, 0.413, 0.271)
O (0.484, 0.077, 0.279)
O (0.522, 0.894, 0.807)
O (0.863, 0.787, 0.268)
O (0.919, 0.621, 0.803)